Tb3Pm4Nd5 after structural relaxation, computed with GGA-PBE.

The structure in CIF format:
```
data_Tb3Pm4Nd5
_chemical_formula_sum 'Tb6 Pm8 Nd10'
_cell_length_a 16.428
_cell_length_b 6.025
_cell_length_c 9.442
_cell_angle_alpha 90.00
_cell_angle_beta 116.36
_cell_angle_gamma 90.00
_space_group_name_H-M_alt 'C 1 2/m 1'
_space_group_IT_number 12
loop_
_space_group_symop_operation_xyz
'x,y,z'
'-x,-y,-z'
'-x,y,-z'
'x,-y,z'
'x+1/2,y+1/2,z'
'-x+1/2,-y+1/2,-z'
'-x+1/2,y+1/2,-z'
'x+1/2,-y+1/2,z'
loop_
_atom_site_label
_atom_site_type_symbol
_atom_site_fract_x
_atom_site_fract_y
_atom_site_fract_z
Tb1 Tb 0.000 0.000 0.000
Tb2 Tb 0.208 0.500 0.227
Pm1 Pm 0.082 0.500 0.441
Pm2 Pm 0.216 0.500 0.878
Nd1 Nd 0.000 0.500 0.000
Nd2 Nd 0.075 0.000 0.701
Nd3 Nd 0.173 0.000 0.388
```

Output
Electronic total energy = -4.521 eV per atom
DOS(E_F) = 39.50 states/eV per cell
Offset from the most stable computed form = 194.2 meV per atom
DFT formation energy = 20.0 kJ per mole of atoms

Tb3Pm2Nd6 after structural relaxation, computed with GGA-PBE.

The structure in CIF format:
```
data_Tb3Pm2Nd6
_chemical_formula_sum 'Tb9 Pm6 Nd18'
_cell_length_a 3.6429
_cell_length_b 3.6429
_cell_length_c 97.9205
_cell_angle_alpha 90.00
_cell_angle_beta 90.00
_cell_angle_gamma 120.00
_space_group_name_H-M_alt 'R -3 m'
_space_group_IT_number 166
_space_group_name_Hall '-R 3 2"'
loop_
_atom_site_label
_atom_site_type_symbol
_atom_site_fract_x
_atom_site_fract_y
_atom_site_fract_z
Tb1 Tb 0.0000 0.0000 0.0000
Tb2 Tb 0.0000 0.0000 0.2733
Pm1 Pm 0.0000 0.0000 0.4540
Nd1 Nd 0.0000 0.0000 0.0900
Nd2 Nd 0.0000 0.0000 0.1821
Nd3 Nd 0.0000 0.0000 0.3633
```

Output
Electronic total energy = -4.716 eV per atom
DOS(E_F) = 42.04 states/eV per cell
Offset from the most stable computed form = 0.0 meV per atom
DFT formation energy = 1.1 kJ per mole of atoms

Tb7Pm12Nd after structural relaxation, computed with GGA-PBE.

The structure in CIF format:
```
data_Tb7Pm12Nd
_chemical_formula_sum 'Tb14 Pm24 Nd2'
_cell_length_a 11.525
_cell_length_b 11.525
_cell_length_c 11.525
_cell_angle_alpha 90.00
_cell_angle_beta 90.00
_cell_angle_gamma 90.00
_space_group_name_H-M_alt 'I m -3'
_space_group_IT_number 204
_space_group_name_Hall '-I 2 2 3'
loop_
_atom_site_label
_atom_site_type_symbol
_atom_site_fract_x
_atom_site_fract_y
_atom_site_fract_z
Tb1 Tb 0.000 0.000 0.500
Tb2 Tb 0.250 0.250 0.250
Pm1 Pm 0.000 0.253 0.252
Nd1 Nd 0.000 0.000 0.000
```

Output
Electronic total energy = -4.056 eV per atom
DOS(E_F) = 49.83 states/eV per cell
Offset from the most stable computed form = 554.5 meV per atom
DFT formation energy = 63.0 kJ per mole of atoms

TbPmNd2 after structural relaxation, computed with GGA-PBE.

The structure in CIF format:
```
data_TbPmNd2
_chemical_formula_sum 'Tb3 Pm3 Nd6'
_cell_length_a 3.6451
_cell_length_b 3.6451
_cell_length_c 35.6171
_cell_angle_alpha 90.00
_cell_angle_beta 90.00
_cell_angle_gamma 120.00
_space_group_name_H-M_alt 'R -3 m'
_space_group_IT_number 166
_space_group_name_Hall '-R 3 2"'
loop_
_atom_site_label
_atom_site_type_symbol
_atom_site_fract_x
_atom_site_fract_y
_atom_site_fract_z
Tb1 Tb 0.0000 0.0000 0.0000
Pm1 Pm 0.0000 0.0000 0.5000
Nd1 Nd 0.0000 0.0000 0.2509
```

Output
Electronic total energy = -4.717 eV per atom
DOS(E_F) = 15.59 states/eV per cell
Offset from the most stable computed form = 0.0 meV per atom
DFT formation energy = 1.2 kJ per mole of atoms

Tb5Pm2Nd12 after structural relaxation, computed with GGA-PBE.

The structure in CIF format:
```
data_Tb5Pm2Nd12
_chemical_formula_sum 'Tb10 Pm4 Nd24'
_cell_length_a 16.058
_cell_length_b 10.251
_cell_length_c 8.052
_cell_angle_alpha 90.00
_cell_angle_beta 91.30
_cell_angle_gamma 90.00
_space_group_name_H-M_alt 'C 1 2/m 1'
_space_group_IT_number 12
loop_
_space_group_symop_operation_xyz
'x,y,z'
'-x,-y,-z'
'-x,y,-z'
'x,-y,z'
'x+1/2,y+1/2,z'
'-x+1/2,-y+1/2,-z'
'-x+1/2,y+1/2,-z'
'x+1/2,-y+1/2,z'
loop_
_atom_site_label
_atom_site_type_symbol
_atom_site_fract_x
_atom_site_fract_y
_atom_site_fract_z
Tb1 Tb 0.000 0.000 0.000
Tb2 Tb 0.148 0.500 0.584
Tb3 Tb 0.247 0.000 0.989
Pm1 Pm 0.000 0.232 0.500
Nd1 Nd 0.052 0.500 0.211
Nd2 Nd 0.106 0.274 0.889
Nd3 Nd 0.156 0.000 0.621
Nd4 Nd 0.191 0.230 0.293
```

Output
Electronic total energy = -4.607 eV per atom
DOS(E_F) = 51.92 states/eV per cell
Offset from the most stable computed form = 28.1 meV per atom
DFT formation energy = 11.9 kJ per mole of atoms

Tb4PmNd5 after structural relaxation, computed with GGA-PBE.

The structure in CIF format:
```
data_Tb4PmNd5
_chemical_formula_sum 'Tb8 Pm2 Nd10'
_cell_length_a 18.343
_cell_length_b 3.612
_cell_length_c 10.597
_cell_angle_alpha 90.00
_cell_angle_beta 96.09
_cell_angle_gamma 90.00
_space_group_name_H-M_alt 'C 1 2/m 1'
_space_group_IT_number 12
loop_
_space_group_symop_operation_xyz
'x,y,z'
'-x,-y,-z'
'-x,y,-z'
'x,-y,z'
'x+1/2,y+1/2,z'
'-x+1/2,-y+1/2,-z'
'-x+1/2,y+1/2,-z'
'x+1/2,-y+1/2,z'
loop_
_atom_site_label
_atom_site_type_symbol
_atom_site_fract_x
_atom_site_fract_y
_atom_site_fract_z
Tb1 Tb 0.046 0.000 0.261
Tb2 Tb 0.183 0.500 0.411
Pm1 Pm 0.000 0.500 0.500
Nd1 Nd 0.000 0.500 0.000
Nd2 Nd 0.142 0.000 0.732
Nd3 Nd 0.190 0.000 0.097
```

Output
Electronic total energy = -4.563 eV per atom
DOS(E_F) = 31.45 states/eV per cell
Offset from the most stable computed form = 135.1 meV per atom
DFT formation energy = 14.3 kJ per mole of atoms

Tb7Pm12Nd after structural relaxation, computed with GGA-PBE.

The structure in CIF format:
```
data_Tb7Pm12Nd
_chemical_formula_sum 'Tb21 Pm36 Nd3'
_cell_length_a 13.4431
_cell_length_b 13.4431
_cell_length_c 12.9023
_cell_angle_alpha 90.00
_cell_angle_beta 90.00
_cell_angle_gamma 120.00
_space_group_name_H-M_alt 'R -3 m'
_space_group_IT_number 166
_space_group_name_Hall '-R 3 2"'
loop_
_atom_site_label
_atom_site_type_symbol
_atom_site_fract_x
_atom_site_fract_y
_atom_site_fract_z
Tb1 Tb 0.0000 0.0000 0.0000
Tb2 Tb 0.0430 0.5215 0.1166
Pm1 Pm 0.0000 0.2616 0.0000
Pm2 Pm 0.0889 0.1778 0.7682
Nd1 Nd 0.0000 0.0000 0.5000
```

Output
Electronic total energy = -4.611 eV per atom
DOS(E_F) = 110.37 states/eV per cell
Offset from the most stable computed form = 0.0 meV per atom
DFT formation energy = 9.5 kJ per mole of atoms

Tb4Pm8Nd after structural relaxation, computed with GGA-PBE.

The structure in CIF format:
```
data_Tb4Pm8Nd
_chemical_formula_sum 'Tb12 Pm24 Nd3'
_cell_length_a 7.3925
_cell_length_b 7.3925
_cell_length_c 28.0852
_cell_angle_alpha 90.00
_cell_angle_beta 90.00
_cell_angle_gamma 120.00
_space_group_name_H-M_alt 'R -3 m'
_space_group_IT_number 166
_space_group_name_Hall '-R 3 2"'
loop_
_atom_site_label
_atom_site_type_symbol
_atom_site_fract_x
_atom_site_fract_y
_atom_site_fract_z
Tb1 Tb 0.0000 0.0000 0.0000
Tb2 Tb 0.0000 0.5000 0.0000
Pm1 Pm 0.0000 0.0000 0.2166
Pm2 Pm 0.0349 0.5175 0.7666
Nd1 Nd 0.0000 0.0000 0.5000
```

Output
Electronic total energy = -4.539 eV per atom
DOS(E_F) = 40.75 states/eV per cell
DFT formation energy = 17.0 kJ per mole of atoms

Tb5Pm6Nd2 after structural relaxation, computed with GGA-PBE.

The structure in CIF format:
```
data_Tb5Pm6Nd2
_chemical_formula_sum 'Tb10 Pm12 Nd4'
_cell_length_a 11.836
_cell_length_b 20.596
_cell_length_c 3.645
_cell_angle_alpha 90.00
_cell_angle_beta 90.00
_cell_angle_gamma 90.00
_space_group_name_H-M_alt 'P b a m'
_space_group_IT_number 55
loop_
_space_group_symop_operation_xyz
'x,y,z'
'-x,-y,-z'
'-x,-y,z'
'x,y,-z'
'x+1/2,-y+1/2,-z'
'-x+1/2,y+1/2,z'
'-x+1/2,y+1/2,-z'
'x+1/2,-y+1/2,z'
loop_
_atom_site_label
_atom_site_type_symbol
_atom_site_fract_x
_atom_site_fract_y
_atom_site_fract_z
Tb1 Tb 0.000 0.000 0.000
Tb2 Tb 0.091 0.277 0.000
Tb3 Tb 0.199 0.555 0.000
Pm1 Pm 0.060 0.423 0.500
Pm2 Pm 0.079 0.135 0.500
Pm3 Pm 0.177 0.871 0.000
Nd1 Nd 0.169 0.715 0.500
```

Output
Electronic total energy = -4.610 eV per atom
DOS(E_F) = 30.08 states/eV per cell
DFT formation energy = 9.4 kJ per mole of atoms

Tb2Pm4Nd after structural relaxation, computed with GGA-PBE.

The structure in CIF format:
```
data_Tb2Pm4Nd
_chemical_formula_sum 'Tb2 Pm4 Nd1'
_cell_length_a 6.653
_cell_length_b 6.835
_cell_length_c 6.836
_cell_angle_alpha 76.37
_cell_angle_beta 60.94
_cell_angle_gamma 60.94
_space_group_name_H-M_alt 'P 1'
_space_group_IT_number 1
loop_
_space_group_symop_operation_xyz
'x,y,z'
loop_
_atom_site_label
_atom_site_type_symbol
_atom_site_fract_x
_atom_site_fract_y
_atom_site_fract_z
Tb1 Tb 0.000 0.000 0.000
Tb2 Tb 0.500 0.000 0.000
Pm1 Pm 0.014 0.101 0.500
Pm2 Pm 0.486 0.500 0.899
Pm3 Pm 0.615 0.900 0.500
Pm4 Pm 0.885 0.500 0.101
Nd1 Nd 0.249 0.500 0.500
```

Output
Electronic total energy = -4.539 eV per atom
DOS(E_F) = 12.27 states/eV per cell
Offset from the most stable computed form = 94.0 meV per atom
DFT formation energy = 17.4 kJ per mole of atoms